# 1
Compound: CaOs3
Source: Alexandria
Functional: GGA-PBE
Structure: optimized geometry

Values from the calculation:
Uncorrected energy = -8.381 eV per atom
Energy above the most stable polymorph in this dataset = 98.6 meV per atom

```
data_CaOs3
_chemical_formula_sum 'Ca1 Os3'
_space_group_name_H-M_alt 'P m m m'
_space_group_IT_number 47
_cell_length_a 2.783
_cell_length_b 3.758
_cell_length_c 6.723
_cell_angle_alpha 90.00
_cell_angle_beta 90.00
_cell_angle_gamma 90.00
loop_
_space_group_symop_operation_xyz
'x,y,z'
'-x,-y,-z'
'-x,-y,z'
'x,y,-z'
'x,-y,-z'
'-x,y,z'
'-x,y,-z'
'x,-y,z'
loop_
_atom_site_label
_atom_site_fract_x
_atom_site_fract_y
_atom_site_fract_z
Ca1 0.000 0.000 0.000
Os1 0.000 0.000 0.500
Os2 0.500 0.500 0.307
```


# 2
Compound: CaOs3
Source: Alexandria
Functional: GGA-PBE
Structure: optimized geometry

Values from the calculation:
Uncorrected energy = -8.327 eV per atom
Energy above the most stable polymorph in this dataset = 152.2 meV per atom

```
data_CaOs3
_chemical_formula_sum 'Ca3 Os9'
_space_group_name_H-M_alt 'R -3 m'
_space_group_IT_number 166
_space_group_name_Hall '-R 3 2"'
_cell_length_a 2.8046
_cell_length_b 2.8046
_cell_length_c 28.6093
_cell_angle_alpha 90.00
_cell_angle_beta 90.00
_cell_angle_gamma 120.00
loop_
_atom_site_label
_atom_site_fract_x
_atom_site_fract_y
_atom_site_fract_z
Ca1 0.0000 0.0000 0.0000
Os1 0.0000 0.0000 0.2419
Os2 0.0000 0.0000 0.5000
```


# 3
Compound: CaOs
Source: Alexandria
Functional: GGA-PBE
Structure: optimized geometry

Values from the calculation:
Uncorrected energy = -6.403 eV per atom

```
data_CaOs
_chemical_formula_sum 'Ca2 Os2'
_space_group_name_H-M_alt 'P 3 m 1'
_space_group_IT_number 156
_cell_length_a 4.0707
_cell_length_b 4.0707
_cell_length_c 8.2634
_cell_angle_alpha 90.00
_cell_angle_beta 90.00
_cell_angle_gamma 120.00
loop_
_space_group_symop_operation_xyz
'x,y,z'
'-y,x-y,z'
'-x+y,-x,z'
'-y,-x,z'
'-x+y,y,z'
'x,x-y,z'
loop_
_atom_site_label
_atom_site_fract_x
_atom_site_fract_y
_atom_site_fract_z
Ca1 0.0000 0.0000 0.0000
Ca2 0.3333 0.6667 0.5751
Os1 0.0000 0.0000 0.3425
Os2 0.6667 0.3333 0.2839
```


# 4
Compound: CaOs
Source: Alexandria
Functional: GGA-PBE
Structure: optimized geometry

Values from the calculation:
Uncorrected energy = -5.790 eV per atom

```
data_CaOs
_chemical_formula_sum 'Ca6 Os6'
_space_group_name_H-M_alt 'R -3 m'
_space_group_IT_number 166
_space_group_name_Hall '-R 3 2"'
_cell_length_a 3.0686
_cell_length_b 3.0686
_cell_length_c 30.7751
_cell_angle_alpha 90.00
_cell_angle_beta 90.00
_cell_angle_gamma 120.00
loop_
_atom_site_label
_atom_site_fract_x
_atom_site_fract_y
_atom_site_fract_z
Ca1 0.0000 0.0000 0.1096
Os1 0.0000 0.0000 0.3649
```


# 5
Compound: Ca5Os4
Source: Alexandria
Functional: GGA-PBE
Structure: optimized geometry

Values from the calculation:
Uncorrected energy = -5.334 eV per atom

```
data_Ca5Os4
_chemical_formula_sum 'Ca10 Os8'
_space_group_name_H-M_alt 'P 63/m c m'
_space_group_IT_number 193
_space_group_name_Hall '-P 6c 2'
_cell_length_a 8.6173
_cell_length_b 8.6173
_cell_length_c 6.0464
_cell_angle_alpha 90.00
_cell_angle_beta 90.00
_cell_angle_gamma 120.00
loop_
_atom_site_label
_atom_site_fract_x
_atom_site_fract_y
_atom_site_fract_z
Ca1 0.0000 0.3500 0.2500
Ca2 0.3333 0.6667 0.0000
Os1 0.0000 0.0000 0.0000
Os2 0.0000 0.2620 0.7500
```


# 6
Compound: Ca3Os2
Source: Alexandria
Functional: GGA-PBE
Structure: optimized geometry

Values from the calculation:
Uncorrected energy = -5.304 eV per atom
Energy above the most stable polymorph in this dataset = 0.0 meV per atom

```
data_Ca3Os2
_chemical_formula_sum 'Ca24 Os16'
_space_group_name_H-M_alt 'F d d 2'
_space_group_IT_number 43
_space_group_name_Hall 'F 2 -2d'
_cell_length_a 13.396
_cell_length_b 22.726
_cell_length_c 3.133
_cell_angle_alpha 90.00
_cell_angle_beta 90.00
_cell_angle_gamma 90.00
loop_
_atom_site_label
_atom_site_fract_x
_atom_site_fract_y
_atom_site_fract_z
Ca1 0.000 0.000 0.000
Ca2 0.087 0.141 0.799
Os1 0.055 0.279 0.721
```


Q: Look up the uncorrected energy of the sixth one.
A: -5.304 eV per atom


Q: The lowest uncorrected energy belongs to which entry?
A: number 1


What did the first record say?
Compound: CaOs3
Source: Alexandria
Functional: GGA-PBE
Structure: optimized geometry

Values from the calculation:
Uncorrected energy = -8.381 eV per atom
Energy above the most stable polymorph in this dataset = 98.6 meV per atom

```
data_CaOs3
_chemical_formula_sum 'Ca1 Os3'
_space_group_name_H-M_alt 'P m m m'
_space_group_IT_number 47
_cell_length_a 2.783
_cell_length_b 3.758
_cell_length_c 6.723
_cell_angle_alpha 90.00
_cell_angle_beta 90.00
_cell_angle_gamma 90.00
loop_
_space_group_symop_operation_xyz
'x,y,z'
'-x,-y,-z'
'-x,-y,z'
'x,y,-z'
'x,-y,-z'
'-x,y,z'
'-x,y,-z'
'x,-y,z'
loop_
_atom_site_label
_atom_site_fract_x
_atom_site_fract_y
_atom_site_fract_z
Ca1 0.000 0.000 0.000
Os1 0.000 0.000 0.500
Os2 0.500 0.500 0.307
```


Q: What is the uncorrected energy in the fourth record?
A: -5.790 eV per atom